(one)
YZrSb2I | PBE | optimized geometry

Summary:
Symmetry: P4/mmm (123)

Structure (POSCAR):
```
YZrSb2I
1.0
5.585 0.000 0.000
0.000 5.585 0.000
0.000 0.000 5.523
Y Zr Sb I
1 1 2 1
Cartesian
0.000 0.000 0.000 Y
2.792 2.792 2.762 Zr
0.000 2.792 2.762 Sb
2.792 0.000 2.762 Sb
2.792 2.792 0.000 I
```

(two)
YZrSb2I | PBE | optimized geometry

Summary:
Symmetry: P4/mmm (123)

Structure (POSCAR):
```
YZrSb2I
1.0
5.752 0.000 0.000
0.000 5.752 0.000
0.000 0.000 5.734
Y Zr Sb I
1 1 2 1
Cartesian
0.000 0.000 0.000 Y
2.876 2.876 2.867 Zr
0.000 2.876 0.000 Sb
2.876 0.000 0.000 Sb
0.000 0.000 2.867 I
```

It comes down to (one), which is 508 meV per atom more stable than the next structure.

(one)
YZrSbI2 | PBE | optimized geometry

Summary:
Symmetry: P4/mmm (123)

Structure (POSCAR):
```
YZrSbI2
1.0
5.559 0.000 0.000
0.000 5.559 0.000
0.000 0.000 5.791
Y Zr Sb I
1 1 1 2
Cartesian
0.000 0.000 0.000 Y
2.779 2.779 2.895 Zr
2.779 2.779 0.000 Sb
0.000 2.779 2.895 I
2.779 0.000 2.895 I
```

(two)
YZrSbI2 | PBE | optimized geometry

Summary:
Symmetry: P4/mmm (123)

Structure (POSCAR):
```
YZrSbI2
1.0
5.755 0.000 0.000
0.000 5.755 0.000
0.000 0.000 6.100
Y Zr Sb I
1 1 1 2
Cartesian
0.000 0.000 0.000 Y
2.877 2.877 3.050 Zr
0.000 0.000 3.050 Sb
0.000 2.877 0.000 I
2.877 0.000 0.000 I
```

It comes down to (one), which is 264 meV per atom more stable than the next structure.

(one)
ZrZnSbI2 | PBE | optimized geometry

Summary:
Symmetry: P4/mmm (123)

Structure (POSCAR):
```
ZrZnSbI2
1.0
5.361 0.000 0.000
0.000 5.361 0.000
0.000 0.000 5.366
Zr Zn Sb I
1 1 1 2
Cartesian
0.000 0.000 0.000 Zr
2.680 2.680 2.683 Zn
2.680 2.680 0.000 Sb
0.000 2.680 2.683 I
2.680 0.000 2.683 I
```

(two)
ZrZnSbI2 | PBE | optimized geometry

Summary:
Symmetry: P4/mmm (123)

Structure (POSCAR):
```
ZrZnSbI2
1.0
5.747 0.000 0.000
0.000 5.747 0.000
0.000 0.000 5.709
Zr Zn Sb I
1 1 1 2
Cartesian
0.000 0.000 0.000 Zr
2.873 2.873 2.854 Zn
0.000 0.000 2.854 Sb
0.000 2.873 0.000 I
2.873 0.000 0.000 I
```

It comes down to (two), which is 570 meV per atom more stable than the next structure.

(one)
ZrSbI3 | PBE | optimized geometry

Summary:
Symmetry: Pm-3m (221)

Structure (POSCAR):
```
ZrSbI3
1.0
5.807 0.000 0.000
0.000 5.807 0.000
0.000 0.000 5.807
Zr Sb I
1 1 3
Cartesian
0.000 0.000 0.000 Zr
2.903 2.903 2.903 Sb
0.000 0.000 2.903 I
0.000 2.903 0.000 I
2.903 0.000 0.000 I
```

(two)
ZrSbI3 | PBE | optimized geometry

Summary:
Symmetry: Pm-3m (221)

Structure (POSCAR):
```
ZrSbI3
1.0
6.027 0.000 0.000
0.000 6.027 0.000
0.000 0.000 6.027
Zr Sb I
1 1 3
Cartesian
0.000 0.000 0.000 Zr
3.013 3.013 3.013 Sb
0.000 3.013 3.013 I
3.013 0.000 3.013 I
3.013 3.013 0.000 I
```

It comes down to (one), which is 678 meV per atom more stable than the next structure.

(one)
ZrSb3I | PBE | optimized geometry

Summary:
Symmetry: Pm-3m (221)

Structure (POSCAR):
```
ZrSb3I
1.0
5.575 0.000 0.000
0.000 5.575 0.000
0.000 0.000 5.575
Zr Sb I
1 3 1
Cartesian
0.000 0.000 0.000 Zr
0.000 0.000 2.788 Sb
0.000 2.788 0.000 Sb
2.788 0.000 0.000 Sb
2.788 2.788 2.788 I
```

(two)
ZrSb3I | PBE | optimized geometry

Summary:
Symmetry: Pm-3m (221)

Structure (POSCAR):
```
ZrSb3I
1.0
5.606 0.000 0.000
0.000 5.606 0.000
0.000 0.000 5.606
Zr Sb I
1 3 1
Cartesian
0.000 0.000 0.000 Zr
0.000 2.803 2.803 Sb
2.803 0.000 2.803 Sb
2.803 2.803 0.000 Sb
2.803 2.803 2.803 I
```

It comes down to (one), which is 1100 meV per atom more stable than the next structure.

(one)
ZrSb2I | PBE | optimized geometry

Summary:
Symmetry: Fm-3m (225)

Structure (POSCAR):
```
ZrSb2I
1.0
0.000 3.771 3.771
3.771 0.000 3.771
3.771 3.771 0.000
Zr Sb I
1 2 1
Cartesian
0.000 0.000 0.000 Zr
1.886 1.886 1.886 Sb
5.657 5.657 5.657 Sb
3.771 3.771 3.771 I
```

(two)
ZrSb2I | PBE | optimized geometry

Summary:
Symmetry: I-42d (122)

Structure (POSCAR):
```
ZrSb2I
1.0
-2.220 2.220 11.687
2.220 -2.220 11.687
2.220 2.220 -11.687
Zr Sb I
2 4 2
Cartesian
0.000 0.000 0.000 Zr
0.000 2.220 5.843 Zr
3.329 0.901 -2.922 Sb
0.901 1.110 2.922 Sb
-1.110 1.318 8.765 Sb
1.318 1.110 14.608 Sb
2.220 0.000 5.843 I
0.000 0.000 11.687 I
```

It comes down to (two), which is 213 meV per atom more stable than the next structure.

(one)
ZrSbI2 | PBE | optimized geometry

Summary:
Symmetry: I-42d (122)

Structure (POSCAR):
```
ZrSbI2
1.0
-5.261 5.261 2.823
5.261 -5.261 2.823
5.261 5.261 -2.823
Zr Sb I
2 2 4
Cartesian
0.000 0.000 0.000 Zr
0.000 5.261 1.411 Zr
5.261 0.000 1.411 Sb
0.000 0.000 2.823 Sb
1.117 2.630 0.706 I
-2.630 4.143 2.117 I
-1.117 7.891 0.706 I
2.630 6.378 2.117 I
```

(two)
ZrSbI2 | PBE | optimized geometry

Summary:
Symmetry: Fm-3m (225)

Structure (POSCAR):
```
ZrSbI2
1.0
0.000 3.763 3.763
3.763 0.000 3.763
3.763 3.763 0.000
Zr Sb I
1 1 2
Cartesian
0.000 0.000 0.000 Zr
3.763 3.763 3.763 Sb
1.882 1.882 1.882 I
5.645 5.645 5.645 I
```

It comes down to (one), which is 366 meV per atom more stable than the next structure.

(one)
Sc2SeI | PBE | optimized geometry

Summary:
Symmetry: R-3m (166)

Structure (POSCAR):
```
Sc2SeI
1.0
1.910 1.103 9.236
-1.910 1.103 9.236
0.000 -2.205 9.236
Sc Se I
2 1 1
Cartesian
0.000 0.000 2.425 Sc
0.000 0.000 25.282 Sc
0.000 0.000 0.000 Se
0.000 0.000 13.854 I
```

(two)
Sc2SeI | PBE | optimized geometry

Summary:
Symmetry: Fm-3m (225)

Structure (POSCAR):
```
Sc2SeI
1.0
0.000 3.513 3.513
3.513 0.000 3.513
3.513 3.513 0.000
Sc Se I
2 1 1
Cartesian
1.756 1.756 1.756 Sc
5.269 5.269 5.269 Sc
0.000 0.000 0.000 Se
3.513 3.513 3.513 I
```

It comes down to (two), which is 418 meV per atom more stable than the next structure.